Computed, not measured: a geometry-optimized NaGeCl structure at the PBE level of DFT.

Summary:
The value obtained for the total energy is -20.90 eV for the cell shown. The value obtained for the energy relative to the lowest polymorph listed for this composition is 0.020 eV per atom. As for the magnetization: 0.00 μB per formula unit. For the volume, the calculation gives 143.5 Å³ per cell. The calculation puts the raw formation energy at -889 meV per atom.

Cell: 3.6394 3.7251 10.5819 Å, 90.00 90.06 90.00°
Space group Pm (No. 6)
One atom of each set of equivalent atoms:
1 Na 0.0000 0.0000 0.0000
2 Na 0.0045 0.5000 0.6756
3 Ge 0.0045 0.5000 0.2722
4 Ge 0.5047 0.0000 0.3288
5 Cl 0.5000 0.5000 0.9001
6 Cl 0.5046 0.0000 0.5870



Computed, not measured: a geometry-optimized NaGeCl structure at the PBE level of DFT.

Summary:
The value obtained for the total energy is -20.13 eV for the cell shown. The value obtained for the energy relative to the lowest polymorph listed for this composition is 0.148 eV per atom. As for the magnetization: 0.00 μB per formula unit. For the volume, the calculation gives 171.0 Å³ per cell. The calculation puts the raw formation energy at -761 meV per atom.

Cell: 3.9327 6.1082 7.9572 Å, 111.97 104.14 90.14°
Space group P1 (No. 1)
One atom of each set of equivalent atoms:
1 Na 0.0000 0.0000 0.0000
2 Na 0.2333 0.5677 0.4684
3 Ge 0.4673 0.5224 0.9331
4 Ge 0.8709 0.3630 0.7393
5 Cl 0.6029 0.3108 0.2070
6 Cl 0.8088 0.9163 0.6182



Computed, not measured: a geometry-optimized NaGe2Cl structure at the PBE level of DFT.

Summary:
The value obtained for the total energy is -49.89 eV for the cell shown. The value obtained for the energy relative to the lowest polymorph listed for this composition is 0.000 eV per atom. As for the magnetization: 0.00 μB per formula unit. For the volume, the calculation gives 504.6 Å³ per cell. The calculation puts the raw formation energy at -18 meV per atom.

Cell: 10.3524 10.3524 4.7086 Å, 90.00 90.00 90.00°
Space group I-42d (No. 122)
One atom of each set of equivalent atoms:
1 Na 0.0000 0.0000 0.0000
2 Ge 0.1927 0.2500 0.6250
3 Cl 0.0000 0.0000 0.5000



Computed, not measured: a geometry-optimized NaGeCl5 structure at the PBE level of DFT.

Summary:
The value obtained for the total energy is -90.83 eV for the cell shown. As for the magnetization: 0.11 μB per formula unit. For the volume, the calculation gives 1054.4 Å³ per cell. The calculation puts the raw formation energy at -1077 meV per atom.

Cell: 11.4458 12.4356 9.0871 Å, 90.00 125.39 90.00°
Space group C2/c (No. 15)
One atom of each set of equivalent atoms:
1 Na 0.0000 0.0000 0.0000
2 Ge 0.0000 0.3670 0.2500
3 Cl 0.0000 0.0938 0.7500
4 Cl 0.0469 0.2694 0.0961
5 Cl 0.1811 0.4668 0.4340



Computed, not measured: a geometry-optimized NaGeCl2 structure at the PBE level of DFT.

Summary:
The value obtained for the total energy is -49.52 eV for the cell shown. The value obtained for the energy relative to the lowest polymorph listed for this composition is 0.000 eV per atom. As for the magnetization: 0.00 μB per formula unit. For the volume, the calculation gives 475.9 Å³ per cell. The calculation puts the raw formation energy at -688 meV per atom.

Cell: 5.5297 5.5297 15.5624 Å, 90.00 90.00 90.00°
Space group I-42d (No. 122)
One atom of each set of equivalent atoms:
1 Na 0.0000 0.0000 0.0000
2 Ge 0.0000 0.0000 0.5000
3 Cl 0.2392 0.2500 0.6250



Computed, not measured: a geometry-optimized NaGeCl2 structure at the PBE level of DFT.

Summary:
The value obtained for the total energy is -35.65 eV for the cell shown. The value obtained for the energy relative to the lowest polymorph listed for this composition is 0.124 eV per atom. As for the magnetization: 0.00 μB per formula unit. For the volume, the calculation gives 386.6 Å³ per cell. The calculation puts the raw formation energy at -563 meV per atom.

Cell: 4.3402 4.3402 23.6953 Å, 90.00 90.00 120.00°
Space group R-3m (No. 166, hexagonal axes)
One atom of each set of equivalent atoms:
1 Na 0.0000 0.0000 0.0000
2 Ge 0.0000 0.0000 0.5000
3 Cl 0.0000 0.0000 0.1120



Computed, not measured: a geometry-optimized NaGe2Cl structure at the PBE level of DFT.

Summary:
The value obtained for the total energy is -43.89 eV for the cell shown. The value obtained for the energy relative to the lowest polymorph listed for this composition is 0.375 eV per atom. As for the magnetization: 0.00 μB per formula unit. For the volume, the calculation gives 358.4 Å³ per cell. The calculation puts the raw formation energy at 357 meV per atom.

Cell: 7.1029 7.1029 7.1029 Å, 90.00 90.00 90.00°
Space group Fm-3m (No. 225)
One atom of each set of equivalent atoms:
1 Na 0.0000 0.0000 0.0000
2 Ge 0.2500 0.2500 0.2500
3 Cl 0.0000 0.0000 0.5000



Computed, not measured: a geometry-optimized NaGeCl structure at the PBE level of DFT.

Summary:
The value obtained for the total energy is -20.14 eV for the cell shown. The value obtained for the energy relative to the lowest polymorph listed for this composition is 0.146 eV per atom. As for the magnetization: 0.00 μB per formula unit. For the volume, the calculation gives 177.9 Å³ per cell. The calculation puts the raw formation energy at -763 meV per atom.

Cell: 4.0019 6.5201 7.7757 Å, 111.81 90.11 107.69°
Space group P1 (No. 1)
One atom of each set of equivalent atoms:
1 Na 0.0000 0.0000 0.0000
2 Na 0.2793 0.5622 0.4523
3 Ge 0.1610 0.3301 0.7498
4 Ge 0.7336 0.4755 0.9384
5 Cl 0.6391 0.2802 0.2155
6 Cl 0.9395 0.8848 0.6146



Computed, not measured: a geometry-optimized NaGeCl structure at the PBE level of DFT.

Summary:
The value obtained for the total energy is -20.19 eV for the cell shown. The value obtained for the energy relative to the lowest polymorph listed for this composition is 0.138 eV per atom. As for the magnetization: 0.00 μB per formula unit. For the volume, the calculation gives 194.7 Å³ per cell. The calculation puts the raw formation energy at -771 meV per atom.

Cell: 6.7468 3.9539 7.5444 Å, 90.00 104.68 90.00°
Space group Pm (No. 6)
One atom of each set of equivalent atoms:
1 Na 0.0000 0.0000 0.0000
2 Na 0.0629 0.0000 0.5017
3 Ge 0.5197 0.5000 0.7338
4 Ge 0.6196 0.0000 0.6017
5 Cl 0.1674 0.5000 0.7942
6 Cl 0.9975 0.5000 0.2456



Computed, not measured: a geometry-optimized NaGeP2Cl structure at the PBE level of DFT.

Summary:
The value obtained for the total energy is -17.83 eV for the cell shown. The value obtained for the energy relative to the lowest polymorph listed for this composition is 0.000 eV per atom. As for the magnetization: 0.00 μB per formula unit. For the volume, the calculation gives 130.1 Å³ per cell. The calculation puts the raw formation energy at 154 meV per atom.

Cell: 4.6034 4.6034 6.1414 Å, 90.00 90.00 90.00°
Space group P4/mmm (No. 123)
One atom of each set of equivalent atoms:
1 Na 0.0000 0.0000 0.0000
2 Ge 0.5000 0.5000 0.5000
3 P 0.0000 0.5000 0.5000
4 Cl 0.5000 0.5000 0.0000



Computed, not measured: a geometry-optimized NaGePCl2 structure at the PBE level of DFT.

Summary:
The value obtained for the total energy is -13.78 eV for the cell shown. The value obtained for the energy relative to the lowest polymorph listed for this composition is 0.586 eV per atom. As for the magnetization: 2.01 μB per formula unit. For the volume, the calculation gives 130.9 Å³ per cell. The calculation puts the raw formation energy at 251 meV per atom.

Cell: 4.8999 4.8999 5.4515 Å, 90.00 90.00 90.00°
Space group P4/mmm (No. 123)
One atom of each set of equivalent atoms:
1 Na 0.0000 0.0000 0.0000
2 Ge 0.5000 0.5000 0.5000
3 P 0.0000 0.0000 0.5000
4 Cl 0.0000 0.5000 0.0000



Computed, not measured: a geometry-optimized NaGeP2Cl structure at the PBE level of DFT.

Summary:
The value obtained for the total energy is -13.72 eV for the cell shown. The value obtained for the energy relative to the lowest polymorph listed for this composition is 0.821 eV per atom. As for the magnetization: 1.48 μB per formula unit. For the volume, the calculation gives 122.2 Å³ per cell. The calculation puts the raw formation energy at 976 meV per atom.

Cell: 4.9862 4.9862 4.9163 Å, 90.00 90.00 90.00°
Space group P4/mmm (No. 123)
One atom of each set of equivalent atoms:
1 Na 0.0000 0.0000 0.0000
2 Ge 0.5000 0.5000 0.5000
3 P 0.0000 0.5000 0.0000
4 Cl 0.0000 0.0000 0.5000



Computed, not measured: a geometry-optimized NaGePCl2 structure at the PBE level of DFT.

Summary:
The value obtained for the total energy is -16.71 eV for the cell shown. The value obtained for the energy relative to the lowest polymorph listed for this composition is 0.000 eV per atom. As for the magnetization: 1.00 μB per formula unit. For the volume, the calculation gives 131.9 Å³ per cell. The calculation puts the raw formation energy at -335 meV per atom.

Cell: 5.2840 5.2840 4.7238 Å, 90.00 90.00 90.00°
Space group P4/mmm (No. 123)
One atom of each set of equivalent atoms:
1 Na 0.0000 0.0000 0.0000
2 Ge 0.5000 0.5000 0.5000
3 P 0.5000 0.5000 0.0000
4 Cl 0.0000 0.5000 0.5000



Computed, not measured: a geometry-optimized Na2GePbCl6 structure at the PBE level of DFT.

Summary:
The value obtained for the total energy is -105.18 eV for the cell shown. As for the magnetization: 0.00 μB per formula unit. For the volume, the calculation gives 871.5 Å³ per cell. The calculation puts the raw formation energy at -1302 meV per atom.

Cell: 7.2359 7.2359 19.2156 Å, 90.00 90.00 120.00°
Space group R3 (No. 146, hexagonal axes)
One atom of each set of equivalent atoms:
1 Na 0.0000 0.0000 0.0000
2 Na 0.0000 0.0000 0.4893
3 Ge 0.0000 0.0000 0.6803
4 Pb 0.0000 0.0000 0.1900
5 Cl 0.0033 0.3000 0.0993
6 Cl 0.0175 0.7301 0.6032



Computed, not measured: a geometry-optimized NaGePbCl6 structure at the PBE level of DFT.

Summary:
The value obtained for the total energy is -60.46 eV for the cell shown. As for the magnetization: 0.00 μB per formula unit. For the volume, the calculation gives 516.6 Å³ per cell. The calculation puts the raw formation energy at -1056 meV per atom.

Cell: 6.4680 6.4680 12.3474 Å, 90.00 90.00 90.00°
Space group P4_2nm (No. 102)
One atom of each set of equivalent atoms:
1 Na 0.0000 0.0000 0.0000
2 Ge 0.0000 0.0000 0.6669
3 Pb 0.0000 0.0000 0.3308
4 Cl 0.1862 0.1862 0.8163
5 Cl 0.1883 0.1883 0.5202
6 Cl 0.2248 0.2248 0.1654



Computed, not measured: a geometry-optimized NaPmGe2Cl8 structure at the PBE level of DFT.

Summary:
The value obtained for the total energy is -47.36 eV for the cell shown. As for the magnetization: 0.00 μB per formula unit. For the volume, the calculation gives 355.3 Å³ per cell. The calculation puts the raw formation energy at -1440 meV per atom.

Cell: 6.3403 6.6924 8.3844 Å, 88.73 89.17 87.61°
Space group P-1 (No. 2)
One atom of each set of equivalent atoms:
1 Na 0.0000 0.0000 0.0000
2 Pm 0.0000 0.0000 0.5000
3 Ge 0.4719 0.4694 0.2406
4 Cl 0.2094 0.8088 0.2581
5 Cl 0.2511 0.8523 0.7416
6 Cl 0.2580 0.3214 0.4659
7 Cl 0.2819 0.3388 0.0330



Computed, not measured: a geometry-optimized NaPmGeCl6 structure at the PBE level of DFT.

Summary:
The value obtained for the total energy is -73.45 eV for the cell shown. As for the magnetization: 0.00 μB per formula unit. For the volume, the calculation gives 521.4 Å³ per cell. The calculation puts the raw formation energy at -1662 meV per atom.

Cell: 6.4799 6.4799 12.4176 Å, 90.00 90.00 90.00°
Space group P4_2nm (No. 102)
One atom of each set of equivalent atoms:
1 Na 0.0000 0.0000 0.0000
2 Pm 0.0000 0.0000 0.6667
3 Ge 0.0000 0.0000 0.3335
4 Cl 0.1896 0.1896 0.4959
5 Cl 0.2010 0.2010 0.1714
6 Cl 0.2038 0.2038 0.8275



Computed, not measured: a geometry-optimized NaPuGe2Cl8 structure at the PBE level of DFT.

Summary:
The value obtained for the total energy is -55.44 eV for the cell shown. As for the magnetization: 5.00 μB per formula unit. For the volume, the calculation gives 354.5 Å³ per cell. The calculation puts the raw formation energy at -1315 meV per atom.

Cell: 6.2944 6.6862 8.4308 Å, 89.41 89.97 87.53°
Space group P-1 (No. 2)
One atom of each set of equivalent atoms:
1 Na 0.0000 0.0000 0.0000
2 Pu 0.0000 0.0000 0.5000
3 Ge 0.4713 0.4687 0.2404
4 Cl 0.2098 0.8124 0.2585
5 Cl 0.2514 0.8540 0.7427
6 Cl 0.2558 0.3221 0.4601
7 Cl 0.2792 0.3395 0.0315



Computed, not measured: a geometry-optimized Rb4NaGe3Cl12 structure at the PBE level of DFT.

Summary:
The value obtained for the total energy is -136.97 eV for the cell shown. As for the magnetization: 0.00 μB per formula unit. For the volume, the calculation gives 1157.0 Å³ per cell. The calculation puts the raw formation energy at -1364 meV per atom.

Cell: 10.4981 10.4981 10.4981 Å, 90.00 90.00 90.00°
Space group Im-3m (No. 229)
One atom of each set of equivalent atoms:
1 Rb 0.2500 0.2500 0.2500
2 Na 0.0000 0.0000 0.0000
3 Ge 0.0000 0.0000 0.5000
4 Cl 0.0000 0.0000 0.2598
5 Cl 0.0000 0.2500 0.5000



Computed, not measured: a geometry-optimized NaGeS2Cl structure at the PBE level of DFT.

Summary:
The value obtained for the total energy is -18.13 eV for the cell shown. The value obtained for the energy relative to the lowest polymorph listed for this composition is 0.000 eV per atom. As for the magnetization: 0.00 μB per formula unit. For the volume, the calculation gives 117.6 Å³ per cell. The calculation puts the raw formation energy at -418 meV per atom.

Cell: 4.6958 4.6958 5.3319 Å, 90.00 90.00 90.00°
Space group P4/mmm (No. 123)
One atom of each set of equivalent atoms:
1 Na 0.0000 0.0000 0.0000
2 Ge 0.5000 0.5000 0.5000
3 S 0.0000 0.5000 0.5000
4 Cl 0.5000 0.5000 0.0000